Computed, not measured: an optimized crystal structure of La5Al2 at the PBE level of DFT.

abc: 6.9025 8.2034 9.3902
angles: 115.90 111.56 90.00
Positions (direct):
La  0.0085  0.2585  0.5170
La  0.5812  0.9203  0.1624
La  0.9915  0.7415  0.4830
La  0.4915  0.7415  0.4830
La  0.2500  0.5000  0.0000
La  0.7500  0.5000  0.0000
La  0.9188  0.7579  0.8376
La  0.4188  0.0797  0.8376
La  0.5085  0.2585  0.5170
La  0.0812  0.2421  0.1624
Al  0.6242  0.3595  0.2483
Al  0.8758  0.1112  0.7517
Al  0.1242  0.8888  0.2483
Al  0.3758  0.6405  0.7517

As for the space-group type: No. 72. The formation energy comes out at -206.6 meV/atom. The spin magnetization is 0.00 μB per formula unit. The density of states at the Fermi level is 1.24 states/eV/atom.